The following is a SCAN calculation of a crystal of ReIrOs relaxed with PBEsol, from the Alexandria database.

CIF file:
```
data_ReIrOs
_chemical_formula_sum 'Re1 Ir1 Os1'
_symmetry_space_group_name_H-M 'P -6 m 2'
_symmetry_Int_Tables_number 187
_symmetry_space_group_name_Hall 'P -6 2'
_cell_length_a 4.3044
_cell_length_b 4.3044
_cell_length_c 2.7258
_cell_angle_alpha 90.00
_cell_angle_beta 90.00
_cell_angle_gamma 120.00
loop_
_atom_site_label
_atom_site_type_symbol
_atom_site_fract_x
_atom_site_fract_y
_atom_site_fract_z
Re1 Re 0.0000 0.0000 0.0000
Ir1 Ir 0.3333 0.6667 0.5000
Os1 Os 0.6667 0.3333 0.0000
```

## Properties
Fermi-level density of states: 2.7 states/eV/f.u.
Total energy: -213.412 eV/f.u.
ΔE_f: 0.22 eV/atom


The following is a SCAN calculation of a crystal of Al2SiBr relaxed with PBEsol, from the Alexandria database.

CIF file:
```
data_Al2SiBr
_chemical_formula_sum 'Al4 Si2 Br2'
_symmetry_space_group_name_H-M 'A m m 2'
_symmetry_Int_Tables_number 38
_cell_length_a 5.092
_cell_length_b 5.149
_cell_length_c 6.505
_cell_angle_alpha 90.00
_cell_angle_beta 90.00
_cell_angle_gamma 90.00
loop_
_symmetry_equiv_pos_as_xyz
'x,y,z'
'-x,-y,z'
'-x,y,z'
'x,-y,z'
'x,y+1/2,z+1/2'
'-x,-y+1/2,z+1/2'
'-x,y+1/2,z+1/2'
'x,-y+1/2,z+1/2'
loop_
_atom_site_label
_atom_site_type_symbol
_atom_site_fract_x
_atom_site_fract_y
_atom_site_fract_z
Al1 Al 0.000 0.000 0.000
Al2 Al 0.500 0.000 0.392
Si1 Si 0.000 0.000 0.385
Br1 Br 0.500 0.000 0.845
```

## Properties
Fermi-level density of states: 1.0 states/eV/f.u.
Total energy: -44.405 eV/f.u.
ΔE_f (raw): 3.31 kcal/mol of atoms


The following is a SCAN calculation of a crystal of Rb3WAu relaxed with PBEsol, from the Alexandria database.

CIF file:
```
data_Rb3WAu
_chemical_formula_sum 'Rb3 W1 Au1'
_symmetry_space_group_name_H-M 'P m -3 m'
_symmetry_Int_Tables_number 221
_symmetry_space_group_name_Hall '-P 4 2 3'
_cell_length_a 6.774
_cell_length_b 6.774
_cell_length_c 6.774
_cell_angle_alpha 90.00
_cell_angle_beta 90.00
_cell_angle_gamma 90.00
loop_
_atom_site_label
_atom_site_type_symbol
_atom_site_fract_x
_atom_site_fract_y
_atom_site_fract_z
Rb1 Rb 0.000 0.000 0.500
W1 W 0.000 0.000 0.000
Au1 Au 0.500 0.500 0.500
```

## Properties
Fermi-level density of states: 2.0 states/eV/f.u.
Total energy: -193.814 eV/f.u.
ΔE_f: 1.45 eV/atom


The following is a SCAN calculation of a crystal of ScRePdS2 relaxed with PBEsol, from the Alexandria database.

CIF file:
```
data_ScRePdS2
_chemical_formula_sum 'Sc1 Re1 Pd1 S2'
_symmetry_space_group_name_H-M 'P 4/m m m'
_symmetry_Int_Tables_number 123
_symmetry_space_group_name_Hall '-P 4 2'
_cell_length_a 4.654
_cell_length_b 4.654
_cell_length_c 5.009
_cell_angle_alpha 90.00
_cell_angle_beta 90.00
_cell_angle_gamma 90.00
loop_
_atom_site_label
_atom_site_type_symbol
_atom_site_fract_x
_atom_site_fract_y
_atom_site_fract_z
Sc1 Sc 0.000 0.000 0.000
Re1 Re 0.000 0.000 0.500
Pd1 Pd 0.500 0.500 0.500
S1 S 0.000 0.500 0.000
```

## Properties
Fermi-level density of states: 4.6 states/eV/f.u.
Total energy: -131.981 eV/f.u.
ΔE_f (raw): 24.83 kcal/mol of atoms


The following is a SCAN calculation of a crystal of LiFe2Si relaxed with PBEsol, from the Alexandria database.

CIF file:
```
data_LiFe2Si
_chemical_formula_sum 'Li4 Fe8 Si4'
_symmetry_space_group_name_H-M 'I -4 2 d'
_symmetry_Int_Tables_number 122
_symmetry_space_group_name_Hall 'I -4 2bw'
_cell_length_a 6.257
_cell_length_b 6.257
_cell_length_c 4.902
_cell_angle_alpha 90.00
_cell_angle_beta 90.00
_cell_angle_gamma 90.00
loop_
_atom_site_label
_atom_site_type_symbol
_atom_site_fract_x
_atom_site_fract_y
_atom_site_fract_z
Li1 Li 0.000 0.000 0.000
Fe1 Fe 0.239 0.750 0.625
Si1 Si 0.000 0.000 0.500
```

## Properties
Fermi-level density of states: 1.3 states/eV/f.u.
Total energy: -47.773 eV/f.u.
ΔE_f (raw): 5.14 kcal/mol of atoms


The following is a SCAN calculation of a crystal of KBaTiBr2 relaxed with PBEsol, from the Alexandria database.

CIF file:
```
data_KBaTiBr2
_chemical_formula_sum 'K1 Ba1 Ti1 Br2'
_symmetry_space_group_name_H-M 'P 4/m m m'
_symmetry_Int_Tables_number 123
_symmetry_space_group_name_Hall '-P 4 2'
_cell_length_a 5.258
_cell_length_b 5.258
_cell_length_c 6.374
_cell_angle_alpha 90.00
_cell_angle_beta 90.00
_cell_angle_gamma 90.00
loop_
_atom_site_label
_atom_site_type_symbol
_atom_site_fract_x
_atom_site_fract_y
_atom_site_fract_z
K1 K 0.000 0.000 0.000
Ba1 Ba 0.500 0.500 0.000
Ti1 Ti 0.000 0.000 0.500
Br1 Br 0.000 0.500 0.500
```

## Properties
Fermi-level density of states: 3.3 states/eV/f.u.
Total energy: -104.945 eV/f.u.
ΔE_f (raw): -9.76 kcal/mol of atoms


Which formula does entry 2 have?
Al2SiBr